# Tb8TlBi3Te4 | Alexandria via LeMat-Bulk | PBE-GGA | relaxed
# Space-group type: No. 166
# Formation energy without anion corrections: -1052 meV/atom
# D(E_F): 2.07 states/eV/cell
data_Tb8TlBi3Te4
_chemical_formula_sum 'Tb8 Tl1 Bi3 Te4'
_cell_length_a 8.850
_cell_length_b 8.850
_cell_length_c 8.850
_cell_angle_alpha 60.25
_cell_angle_beta 60.25
_cell_angle_gamma 60.25
_symmetry_space_group_name_H-M 'P 1'
_symmetry_Int_Tables_number 1
loop_
_symmetry_equiv_pos_as_xyz
'x,y,z'
loop_
_atom_site_label
_atom_site_fract_x
_atom_site_fract_y
_atom_site_fract_z
Tb1 0.249 0.249 0.249
Tb2 0.255 0.744 0.744
Tb3 0.256 0.256 0.745
Tb4 0.256 0.745 0.256
Tb5 0.744 0.255 0.744
Tb6 0.744 0.744 0.255
Tb7 0.745 0.256 0.256
Tb8 0.751 0.751 0.751
Tl1 0.500 0.500 0.500
Bi1 0.000 0.000 0.500
Bi2 0.000 0.500 0.000
Bi3 0.500 0.000 0.000
Te1 0.000 0.000 0.000
Te2 0.000 0.500 0.500
Te3 0.500 0.000 0.500
Te4 0.500 0.500 0.000